[1]
Tl2HgSbPb: relaxed, PBE-GGA.

For the density of states at the Fermi level, the calculation gives 3.2 states/eV per cell. As for the theoretical density: 9.1 g/cm3. The space-group type is Cmcm. For the final energy, the calculation gives -2.505 eV per atom.

Cell: 13.7281 13.7281 7.1719 Å, 90.00 90.00 165.30°
Atoms (fractional coordinates):
Tl: 0.1545 0.8455 0.5202
Tl: 0.1545 0.8455 0.9798
Tl: 0.8455 0.1545 0.0202
Tl: 0.8455 0.1545 0.4798
Hg: 0.2493 0.7507 0.2500
Hg: 0.7507 0.2493 0.7500
Sb: 0.4175 0.5825 0.7500
Sb: 0.5825 0.4175 0.2500
Pb: 0.0000 0.0000 0.0000
Pb: 0.0000 0.0000 0.5000

***

[2]
Ac2GaH: relaxed, PBE-GGA.

For the density of states at the Fermi level, the calculation gives 7.5 states/eV per cell. As for the theoretical density: 7.7 g/cm3. The space-group type is C2/m. For the final energy, the calculation gives -4.052 eV per atom.

Cell: 6.9946 6.9946 9.6114 Å, 125.65 125.65 37.36°
Atoms (fractional coordinates):
Ac: 0.0722 0.0722 0.3549
Ac: 0.3247 0.3247 0.9230
Ac: 0.6753 0.6753 0.0770
Ac: 0.9278 0.9278 0.6451
Ga: 0.3805 0.3805 0.3567
Ga: 0.6195 0.6195 0.6433
H: 0.1437 0.1437 0.9358
H: 0.8563 0.8563 0.0642

***

[3]
K2AgPPd: relaxed, PBE-GGA.

For the density of states at the Fermi level, the calculation gives 2.3 states/eV per cell. As for the theoretical density: 3.1 g/cm3. The space-group type is P4/mmm. The formation energy from the elements is -32 meV/atom. For the final energy, the calculation gives -3.161 eV per atom.

Cell: 6.3373 6.3373 4.3776 Å, 90.00 90.00 90.00°
Atoms (fractional coordinates):
K: 0.0000 0.5000 0.0000
K: 0.5000 0.0000 0.0000
Ag: 0.0000 0.0000 0.5000
P: 0.5000 0.5000 0.0000
Pd: 0.5000 0.5000 0.5000

***

[4]
Hf3MgRu4: relaxed, PBE-GGA.

For the density of states at the Fermi level, the calculation gives 5.5 states/eV per cell. As for the theoretical density: 12.0 g/cm3. The space-group type is P4/mmm. The formation energy from the elements is -629 meV/atom. For the final energy, the calculation gives -9.199 eV per atom.

Cell: 3.2303 3.2303 12.7825 Å, 90.00 90.00 90.00°
Atoms (fractional coordinates):
Hf: 0.0000 0.0000 0.0000
Hf: 0.0000 0.0000 0.2581
Hf: 0.0000 0.0000 0.7419
Mg: 0.0000 0.0000 0.5000
Ru: 0.5000 0.5000 0.1251
Ru: 0.5000 0.5000 0.3740
Ru: 0.5000 0.5000 0.6260
Ru: 0.5000 0.5000 0.8749